A:
Here is an optimized crystal structure of Nd5Sm12Ho2 from the Alexandria database. Energies are from GGA-PBE.

Calculated values
V ... 651.50 Å³ per cell
DOS at the Fermi energy ... 32.42 states/eV per cell

```
19
Lattice="5.522 0.083 1.359 1.116 10.202 6.685 -0.104 1.025 12.204" Properties=species:S:1:pos:R:3 pbc="T T T"
Nd 2.761 0.042 0.680
Nd 4.232 3.330 6.472
Nd 2.301 7.980 13.776
Nd 2.050 2.092 3.932
Nd 4.484 9.218 16.317
Sm 4.851 5.791 15.478
Sm 1.683 5.520 4.770
Sm 1.129 1.352 7.277
Sm 3.920 6.612 7.519
Sm 5.145 1.355 3.390
Sm 0.892 4.721 8.047
Sm 5.641 6.589 12.201
Sm 5.405 9.958 12.972
Sm 1.388 9.956 16.859
Sm 3.117 8.483 10.453
Sm 2.614 4.698 12.729
Sm 3.416 2.827 9.795
Ho 0.854 8.231 7.870
Ho 0.158 2.996 11.019
```

B:
Here is an optimized crystal structure of Nd5Sm12Ho2 from the Alexandria database. Energies are from GGA-PBE.

Calculated values
V ... 655.42 Å³ per cell
DOS at the Fermi energy ... 31.61 states/eV per cell

```
19
Lattice="7.184 0.000 0.000 -3.592 8.631 3.577 0.000 -0.182 10.494" Properties=species:S:1:pos:R:3 pbc="T T T"
Sm 0.000 0.268 8.121
Sm -1.810 5.725 11.538
Sm 1.810 5.725 11.538
Sm 5.402 2.724 2.534
Sm 3.592 8.181 5.951
Sm 1.805 2.769 6.222
Sm 3.592 -0.097 7.142
Sm 1.782 2.724 2.534
Sm 5.379 2.769 6.222
Sm 0.000 8.546 6.930
Sm -1.787 5.680 7.850
Sm 1.787 5.680 7.850
Nd 0.000 5.556 4.510
Nd 0.000 -0.091 5.247
Nd 0.000 3.052 9.893
Nd 3.592 5.397 4.179
Nd 3.592 2.893 9.562
Ho 1.998 0.000 0.000
Ho 5.186 0.000 0.000
```

Stability, highest: A

A:
Here is an optimized crystal structure of NdSm9Ho2 from the Alexandria database. Energies are from GGA-PBE.

Calculated values
V ... 400.30 Å³ per cell
DOS at the Fermi energy ... 19.60 states/eV per cell

```
12
Lattice="5.109 0.000 0.000 0.000 5.109 0.000 0.000 0.000 15.337" Properties=species:S:1:pos:R:3 pbc="T T T"
Ho 0.000 0.000 5.130
Ho 0.000 0.000 10.207
Sm 2.554 0.000 2.590
Sm 2.554 2.554 10.200
Sm 2.554 2.554 0.000
Sm 2.554 0.000 12.747
Sm 0.000 2.554 7.668
Sm 2.554 0.000 7.668
Sm 0.000 2.554 12.747
Sm 0.000 2.554 2.590
Sm 2.554 2.554 5.137
Nd 0.000 0.000 0.000
```

B:
Here is an optimized crystal structure of NdSm9Ho2 from the Alexandria database. Energies are from GGA-PBE.

Calculated values
V ... 401.95 Å³ per cell
DOS at the Fermi energy ... 14.14 states/eV per cell

```
12
Lattice="-3.165 -1.279 -0.987 4.104 -10.647 0.636 -4.813 4.827 9.174" Properties=species:S:1:pos:R:3 pbc="T T T"
Sm 0.945 -8.551 1.652
Sm -2.559 -0.815 2.863
Sm -0.354 -2.910 4.905
Sm -2.891 -3.548 7.469
Sm -0.982 -3.551 1.353
Sm -4.819 1.451 7.170
Sm 2.052 -5.324 0.318
Sm -1.315 -6.284 5.960
Sm -2.406 2.413 4.587
Ho 1.132 -5.489 3.482
Ho -1.840 -0.331 6.328
Nd 0.000 0.000 0.000
```

Stability, highest: A

A:
Here is an optimized crystal structure of NdSm3Ho2 from the Alexandria database. Energies are from GGA-PBE.

Calculated values
V ... 397.11 Å³ per cell
DOS at the Fermi energy ... 14.80 states/eV per cell

```
12
Lattice="-4.486 5.598 1.110 -1.021 -8.880 5.138 6.408 -0.244 3.402" Properties=species:S:1:pos:R:3 pbc="T T T"
Sm -0.332 -1.918 2.414
Sm -1.975 -1.487 5.539
Sm 2.876 -2.038 4.111
Sm -2.778 -4.740 6.804
Sm 1.233 -1.607 7.236
Sm 3.679 1.216 2.847
Ho 0.268 -4.298 4.976
Ho 3.474 -4.424 6.680
Ho -2.573 0.899 2.971
Ho 0.633 0.774 4.674
Nd 0.469 1.338 1.150
Nd 0.432 -4.863 8.500
```

B:
Here is an optimized crystal structure of NdSm3Ho2 from the Alexandria database. Energies are from GGA-PBE.

Calculated values
V ... 204.06 Å³ per cell
DOS at the Fermi energy ... 11.85 states/eV per cell

```
6
Lattice="-0.560 -3.136 -1.435 2.066 -2.618 4.915 -9.837 2.777 2.025" Properties=species:S:1:pos:R:3 pbc="T T T"
Sm -4.833 -2.938 4.055
Sm 1.033 -1.309 2.457
Sm -3.498 -0.038 1.450
Nd 0.000 0.000 0.000
Ho -1.750 -2.904 2.777
Ho -6.581 -0.072 2.728
```

Stability, highest: A

A:
Here is an optimized crystal structure of Nd4Sm5Ho2 from the Alexandria database. Energies are from GGA-PBE.

Calculated values
V ... 385.96 Å³ per cell
DOS at the Fermi energy ... 16.19 states/eV per cell

```
11
Lattice="-1.074 -1.297 -3.101 7.388 -5.825 -0.122 -9.426 -4.506 7.156" Properties=species:S:1:pos:R:3 pbc="T T T"
Ho 0.272 -7.273 0.939
Ho -3.385 -4.355 2.993
Sm -7.109 -4.563 2.362
Sm -0.537 -0.648 -1.551
Sm -0.381 -3.614 1.643
Sm 3.997 -7.066 1.570
Sm -2.732 -8.015 2.289
Nd 2.191 -1.727 -0.036
Nd 5.197 -4.098 -0.086
Nd 1.953 -5.110 -0.547
Nd -5.066 -6.518 4.479
```

B:
Here is an optimized crystal structure of Nd4Sm5Ho2 from the Alexandria database. Energies are from GGA-PBE.

Calculated values
V ... 379.52 Å³ per cell
DOS at the Fermi energy ... 16.93 states/eV per cell

```
11
Lattice="-1.934 -0.930 2.852 -6.530 -2.586 -5.271 6.412 -10.392 -1.273" Properties=species:S:1:pos:R:3 pbc="T T T"
Nd -0.233 -12.139 -1.882
Nd -3.902 -7.502 -2.858
Nd 1.850 -6.406 -0.834
Nd -1.819 -1.768 -1.810
Sm -3.169 -10.961 -3.489
Sm -0.956 -8.676 -1.244
Sm 1.118 -2.946 -0.203
Sm -1.095 -5.232 -2.448
Sm -0.967 -0.465 1.426
Ho -4.568 -4.166 -2.223
Ho 2.517 -9.741 -1.469
```

Stability, highest: B

A:
Here is an optimized crystal structure of NdSm5Ho2 from the Alexandria database. Energies are from GGA-PBE.

Calculated values
V ... 530.93 Å³ per cell
DOS at the Fermi energy ... 23.04 states/eV per cell

```
16
Lattice="-0.112 -2.849 4.219 -4.899 -4.334 -3.056 10.602 -8.253 -5.292" Properties=species:S:1:pos:R:3 pbc="T T T"
Sm 5.502 -8.349 -5.492
Sm 2.686 -5.604 -0.640
Sm 3.062 -10.524 -7.024
Sm 2.905 -9.832 -3.489
Sm -2.406 -5.714 -0.849
Sm 0.201 -4.238 -2.856
Sm 7.998 -9.722 -3.279
Sm 2.852 -6.294 -4.174
Sm 2.641 -2.064 -1.323
Sm 0.000 0.000 0.000
Ho 5.547 -11.892 -4.810
Ho 0.045 -3.544 0.681
Ho 0.240 -7.770 -2.167
Ho 5.351 -7.666 -1.961
Nd 5.301 -4.127 -2.646
Nd -2.450 -2.167 -1.528
```

B:
Here is an optimized crystal structure of NdSm5Ho2 from the Alexandria database. Energies are from GGA-PBE.

Calculated values
V ... 537.97 Å³ per cell
DOS at the Fermi energy ... 29.15 states/eV per cell

```
16
Lattice="6.422 -2.141 1.042 -7.315 11.781 -1.373 2.363 -0.847 9.351" Properties=species:S:1:pos:R:3 pbc="T T T"
Sm -0.594 8.519 6.667
Sm -4.460 9.432 3.404
Sm 5.930 -0.638 5.616
Sm -2.152 6.745 -0.274
Sm 2.064 0.275 2.353
Sm -3.669 10.335 6.881
Sm -1.361 7.615 3.188
Sm 2.831 1.179 5.832
Sm 5.140 -1.542 2.139
Sm 3.622 2.049 9.294
Ho 2.008 3.787 3.411
Ho 1.194 6.399 0.995
Ho 0.276 2.394 8.025
Ho -0.538 5.007 5.609
Nd -1.301 4.120 2.139
Nd 2.771 4.674 6.881
```

Stability, highest: A

A:
Here is an optimized crystal structure of Nd7Sm12Ho from the Alexandria database. Energies are from GGA-PBE.

Calculated values
V ... 767.65 Å³ per cell
DOS at the Fermi energy ... 27.97 states/eV per cell

```
20
Lattice="1.019 -1.256 -9.859 -2.599 -8.679 4.211 -7.085 6.817 1.774" Properties=species:S:1:pos:R:3 pbc="T T T"
Nd -0.790 -4.967 -2.824
Nd -3.033 2.781 -4.042
Nd 0.509 -0.628 -4.929
Nd -4.842 -0.931 2.993
Nd -1.300 -4.339 2.106
Nd -4.333 -1.559 -1.937
Nd -3.543 3.408 0.887
Sm -8.789 -0.033 2.518
Sm -3.576 -7.942 -2.780
Sm -3.707 -4.860 3.607
Sm 0.123 -3.085 -6.391
Sm -6.779 -2.043 -0.487
Sm -1.886 -1.074 -3.386
Sm -4.959 1.742 -7.481
Sm -4.782 -4.028 -3.359
Sm -3.884 0.910 -0.514
Sm -2.775 -2.910 0.081
Sm -5.890 -0.208 -3.954
Sm -5.090 4.824 -1.093
Ho 0.000 0.000 0.000
```

B:
Here is an optimized crystal structure of Nd7Sm12Ho from the Alexandria database. Energies are from GGA-PBE.

Calculated values
V ... 699.77 Å³ per cell
DOS at the Fermi energy ... 38.96 states/eV per cell

```
20
Lattice="-6.524 4.982 -3.416 -6.380 -4.815 3.894 -0.338 5.310 7.123" Properties=species:S:1:pos:R:3 pbc="T T T"
Sm -2.969 4.628 4.958
Sm -6.571 2.295 8.049
Sm -5.814 -1.419 4.360
Sm -5.048 5.045 1.941
Sm -8.999 3.913 1.748
Sm -7.428 6.896 3.242
Sm -7.201 0.212 1.672
Sm -6.040 5.265 5.929
Sm -10.272 0.849 2.643
Sm -4.242 1.564 5.853
Sm -6.670 3.182 -0.447
Sm -8.193 0.433 5.660
Nd -1.605 1.758 3.148
Nd -9.699 6.219 6.026
Nd -11.636 3.719 4.453
Nd -6.621 2.739 3.801
Nd -10.113 3.070 7.574
Nd -3.128 2.407 0.028
Nd -3.543 -0.742 1.575
Ho 0.000 0.000 0.000
```

Stability, highest: B